MnTlNiTe3: relaxed, PBE-GGA.

Summary:
electronic total energy	-4.666	eV per atom
formation energy from raw total energies	-0.21	eV per atom
calculated density	7.4	Mg/m³
crystal system	monoclinic

The structure in extended XYZ format:
```
12
Lattice="8.732 0.000 0.000 0.000 3.851 0.000 -3.814 0.000 9.374" Properties=species:S:1:pos:R:3 pbc="T T T"
Mn -0.977 0.963 3.043
Mn 5.895 2.888 6.331
Tl 3.529 0.963 1.977
Tl 1.389 2.888 7.397
Ni -0.250 2.888 1.007
Ni 5.168 0.963 8.367
Te -0.951 0.963 5.802
Te -2.012 2.888 8.881
Te 0.938 2.888 3.202
Te 3.980 0.963 6.172
Te 6.930 0.963 0.493
Te 5.869 2.888 3.572
```